Record 1
Below is a relaxed P2BrClO crystal, with properties calculated at the PBE-GGA level.

**Total magnetic moment**: 0.60 μB per cell
**Formation energy without anion corrections**: 1.677 eV/atom
**Raw total energy**: -2.183 eV/atom
**D(E_F)**: 0.9789 states/eV per atom

Cell: 5.084 5.084 5.127 Å, 90.00 90.00 90.00°
Atoms (fractional coordinates):
P 0.000 0.500 0.000
P 0.500 0.000 0.000
Br 0.000 0.000 0.000
Cl 0.000 0.000 0.500
O 0.500 0.500 0.500

Record 2
Below is a relaxed NaY2F7 crystal, with properties calculated at the PBE-GGA level.

**Total magnetic moment**: 0.16 μB per cell
**Formation energy without anion corrections**: -3.827 eV/atom
**Raw total energy**: -6.561 eV/atom
**D(E_F)**: 0.0000 states/eV per atom

Cell: 3.979 3.979 10.971 Å, 100.34 100.34 59.97°
Atoms (fractional coordinates):
Na 0.000 0.000 0.000
Y 0.430 0.430 0.294
Y 0.570 0.570 0.706
F 0.081 0.081 0.245
F 0.222 0.222 0.663
F 0.364 0.364 0.094
F 0.500 0.500 0.500
F 0.636 0.636 0.906
F 0.778 0.778 0.337
F 0.919 0.919 0.755

Record 3
Below is a relaxed Pr3Mg2Zn4 crystal, with properties calculated at the PBE-GGA level.

**Total magnetic moment**: 0.00 μB per cell
**Raw total energy**: -2.746 eV/atom
**Formation energy from the elements**: -0.232 eV/atom
**D(E_F)**: 0.8914 states/eV per atom

Cell: 6.052 6.052 9.065 Å, 115.82 115.82 46.95°
Atoms (fractional coordinates):
Pr 0.000 0.000 0.000
Pr 0.348 0.348 0.316
Pr 0.652 0.652 0.684
Mg 0.354 0.354 0.686
Mg 0.646 0.646 0.314
Zn 0.055 0.055 0.391
Zn 0.261 0.261 0.932
Zn 0.739 0.739 0.068
Zn 0.945 0.945 0.609

Record 4
Below is a relaxed Na3Tl3RhBr8 crystal, with properties calculated at the PBE-GGA level.

**Total magnetic moment**: 1.01 μB per cell
**Formation energy without anion corrections**: -0.961 eV/atom
**Raw total energy**: -3.081 eV/atom
**D(E_F)**: 0.3658 states/eV per atom

Cell: 9.205 9.205 9.205 Å, 55.79 55.79 55.79°
Atoms (fractional coordinates):
Na 0.000 0.500 0.500
Na 0.500 0.000 0.500
Na 0.500 0.500 0.000
Tl 0.000 0.000 0.500
Tl 0.000 0.500 0.000
Tl 0.500 0.000 0.000
Rh 0.000 0.000 0.000
Br 0.211 0.211 0.770
Br 0.211 0.770 0.211
Br 0.230 0.789 0.789
Br 0.262 0.262 0.262
Br 0.738 0.738 0.738
Br 0.770 0.211 0.211
Br 0.789 0.230 0.789
Br 0.789 0.789 0.230

Record 5
Below is a relaxed KHfBr2 crystal, with properties calculated at the PBE-GGA level.

**Total magnetic moment**: 8.26 μB per cell
**Formation energy without anion corrections**: -0.324 eV/atom
**Raw total energy**: -3.923 eV/atom
**D(E_F)**: 1.2226 states/eV per atom

Cell: 6.065 6.065 16.448 Å, 90.00 90.00 90.00°
Atoms (fractional coordinates):
K 0.000 0.000 0.000
K 0.000 0.500 0.250
K 0.500 0.000 0.750
K 0.500 0.500 0.500
Hf 0.000 0.000 0.500
Hf 0.000 0.500 0.750
Hf 0.500 0.000 0.250
Hf 0.500 0.500 0.000
Br 0.149 0.250 0.625
Br 0.250 0.649 0.875
Br 0.250 0.851 0.375
Br 0.351 0.250 0.125
Br 0.649 0.750 0.125
Br 0.750 0.149 0.375
Br 0.750 0.351 0.875
Br 0.851 0.750 0.625

Record 6
Below is a relaxed FeSi2Cl crystal, with properties calculated at the PBE-GGA level.

**Total magnetic moment**: 3.77 μB per cell
**Formation energy without anion corrections**: 0.118 eV/atom
**Raw total energy**: -5.171 eV/atom
**D(E_F)**: 0.7095 states/eV per atom

Cell: 7.454 3.051 6.962 Å, 90.00 111.00 90.00°
Atoms (fractional coordinates):
Fe 0.000 0.000 0.000
Fe 0.500 0.500 0.000
Si 0.045 0.500 0.320
Si 0.265 0.500 0.148
Si 0.545 0.000 0.320
Si 0.765 0.000 0.148
Cl 0.384 0.000 0.740
Cl 0.884 0.500 0.740

Record 7
Below is a relaxed Er6ThMg2 crystal, with properties calculated at the PBE-GGA level.

**Total magnetic moment**: 0.00 μB per cell
**Raw total energy**: -4.120 eV/atom
**Formation energy from the elements**: 0.101 eV/atom
**D(E_F)**: 1.4910 states/eV per atom

Cell: 3.486 3.486 25.614 Å, 90.00 90.00 120.00°
Atoms (fractional coordinates):
Er 0.000 0.000 0.065
Er 0.000 0.000 0.276
Er 0.000 0.000 0.724
Er 0.000 0.000 0.935
Er 0.333 0.667 0.385
Er 0.333 0.667 0.615
Th 0.000 0.000 0.500
Mg 0.333 0.667 0.169
Mg 0.333 0.667 0.831

Record 8
Below is a relaxed Tc2Ir crystal, with properties calculated at the PBE-GGA level.

**Total magnetic moment**: 0.00 μB per cell
**Raw total energy**: -9.918 eV/atom
**Formation energy from the elements**: -0.054 eV/atom
**D(E_F)**: 1.0316 states/eV per atom

Cell: 2.735 2.735 6.732 Å, 90.00 90.00 120.00°
Atoms (fractional coordinates):
Tc 0.333 0.667 0.338
Tc 0.667 0.333 0.662
Ir 0.000 0.000 0.000

Record 9
Below is a relaxed CuOsBr3 crystal, with properties calculated at the PBE-GGA level.

**Total magnetic moment**: 1.06 μB per cell
**Formation energy without anion corrections**: 0.790 eV/atom
**Raw total energy**: -3.279 eV/atom
**D(E_F)**: 1.0323 states/eV per atom

Cell: 5.072 5.072 5.072 Å, 90.00 90.00 90.00°
Atoms (fractional coordinates):
Cu 0.000 0.000 0.000
Os 0.500 0.500 0.500
Br 0.000 0.500 0.500
Br 0.500 0.000 0.500
Br 0.500 0.500 0.000

Record 10
Below is a relaxed MgSeSN2 crystal, with properties calculated at the PBE-GGA level.

**Total magnetic moment**: 0.00 μB per cell
**Formation energy without anion corrections**: 0.967 eV/atom
**Raw total energy**: -4.205 eV/atom
**D(E_F)**: 0.2144 states/eV per atom

Cell: 3.712 3.712 5.767 Å, 90.00 90.00 90.00°
Atoms (fractional coordinates):
Mg 0.000 0.000 0.000
Se 0.500 0.500 0.500
S 0.500 0.500 0.000
N 0.000 0.500 0.500
N 0.500 0.000 0.500

Record 11
Below is a relaxed NaPrCu10 crystal, with properties calculated at the PBE-GGA level.

**Total magnetic moment**: 0.00 μB per cell
**Raw total energy**: -3.961 eV/atom
**Formation energy from the elements**: -0.040 eV/atom
**D(E_F)**: 0.4293 states/eV per atom

Cell: 4.071 5.107 8.789 Å, 90.00 90.00 90.00°
Atoms (fractional coordinates):
Na 0.000 0.000 0.000
Pr 0.000 0.500 0.500
Cu 0.000 0.000 0.324
Cu 0.000 0.000 0.676
Cu 0.000 0.500 0.160
Cu 0.000 0.500 0.840
Cu 0.500 0.000 0.500
Cu 0.500 0.253 0.250
Cu 0.500 0.253 0.750
Cu 0.500 0.500 0.000
Cu 0.500 0.747 0.250
Cu 0.500 0.747 0.750

Record 12
Below is a relaxed PmDyYS3 crystal, with properties calculated at the PBE-GGA level.

**Total magnetic moment**: 0.00 μB per cell
**Formation energy without anion corrections**: -1.932 eV/atom
**Raw total energy**: -6.632 eV/atom
**D(E_F)**: 0.5796 states/eV per atom

Cell: 6.841 3.874 10.298 Å, 90.00 102.54 90.00°
Atoms (fractional coordinates):
Pm 0.159 0.250 0.196
Pm 0.841 0.750 0.804
Dy 0.266 0.750 0.556
Dy 0.734 0.250 0.444
Y 0.373 0.250 0.869
Y 0.627 0.750 0.131
S 0.046 0.250 0.662
S 0.221 0.750 0.002
S 0.447 0.750 0.344
S 0.553 0.250 0.656
S 0.779 0.250 0.998
S 0.954 0.750 0.338

Record 13
Below is a relaxed SrTb3Tl2 crystal, with properties calculated at the PBE-GGA level.

**Total magnetic moment**: 0.00 μB per cell
**Raw total energy**: -3.532 eV/atom
**Formation energy from the elements**: -0.148 eV/atom
**D(E_F)**: 1.1077 states/eV per atom

Cell: 8.911 8.911 9.357 Å, 115.99 115.99 35.96°
Atoms (fractional coordinates):
Sr 0.131 0.131 0.188
Sr 0.869 0.869 0.812
Tb 0.063 0.063 0.711
Tb 0.307 0.307 0.013
Tb 0.386 0.386 0.473
Tb 0.614 0.614 0.527
Tb 0.693 0.693 0.987
Tb 0.937 0.937 0.289
Tl 0.224 0.224 0.614
Tl 0.491 0.491 0.833
Tl 0.509 0.509 0.167
Tl 0.776 0.776 0.386

Record 14
Below is a relaxed LaDyP crystal, with properties calculated at the PBE-GGA level.

**Total magnetic moment**: 1.75 μB per cell
**Raw total energy**: -5.528 eV/atom
**Formation energy from the elements**: -0.548 eV/atom
**D(E_F)**: 1.3847 states/eV per atom

Cell: 5.855 11.732 5.820 Å, 90.00 90.00 90.00°
Atoms (fractional coordinates):
La 0.000 0.202 0.250
La 0.000 0.798 0.750
La 0.500 0.298 0.750
La 0.500 0.702 0.250
Dy 0.000 0.500 0.000
Dy 0.000 0.500 0.500
Dy 0.500 0.000 0.000
Dy 0.500 0.000 0.500
P 0.000 0.298 0.750
P 0.000 0.702 0.250
P 0.500 0.202 0.250
P 0.500 0.798 0.750

Record 15
Below is a relaxed KAg3Ru crystal, with properties calculated at the PBE-GGA level.

**Total magnetic moment**: 1.96 μB per cell
**Raw total energy**: -1.885 eV/atom
**Formation energy from the elements**: 1.901 eV/atom
**D(E_F)**: 1.4529 states/eV per atom

Cell: 5.200 5.200 5.200 Å, 90.00 90.00 90.00°
Atoms (fractional coordinates):
K 0.000 0.000 0.000
Ag 0.000 0.000 0.500
Ag 0.000 0.500 0.000
Ag 0.500 0.000 0.000
Ru 0.500 0.500 0.500

Record 16
Below is a relaxed AcPuSe2O crystal, with properties calculated at the PBE-GGA level.

**Total magnetic moment**: 10.00 μB per cell
**Formation energy without anion corrections**: -2.239 eV/atom
**Raw total energy**: -8.313 eV/atom
**D(E_F)**: 1.9282 states/eV per atom

Cell: 4.194 4.194 14.619 Å, 90.00 90.00 90.00°
Atoms (fractional coordinates):
Ac 0.250 0.250 0.089
Ac 0.750 0.750 0.911
Pu 0.250 0.250 0.610
Pu 0.750 0.750 0.390
Se 0.250 0.250 0.407
Se 0.250 0.250 0.795
Se 0.750 0.750 0.205
Se 0.750 0.750 0.593
O 0.250 0.750 0.000
O 0.750 0.250 0.000

Record 17
Below is a relaxed ZnCo2Re2 crystal, with properties calculated at the PBE-GGA level.

**Total magnetic moment**: 0.00 μB per cell
**Raw total energy**: -7.810 eV/atom
**Formation energy from the elements**: 0.267 eV/atom
**D(E_F)**: 1.0371 states/eV per atom

Cell: 7.183 7.183 2.615 Å, 90.00 90.00 90.00°
Atoms (fractional coordinates):
Zn 0.000 0.000 0.000
Zn 0.500 0.500 0.000
Co 0.120 0.380 0.000
Co 0.380 0.880 0.000
Co 0.620 0.120 0.000
Co 0.880 0.620 0.000
Re 0.173 0.673 0.500
Re 0.327 0.173 0.500
Re 0.673 0.827 0.500
Re 0.827 0.327 0.500

Record 18
Below is a relaxed UGa2Cu2 crystal, with properties calculated at the PBE-GGA level.

**Total magnetic moment**: 5.23 μB per cell
**Raw total energy**: -5.138 eV/atom
**Formation energy from the elements**: -0.031 eV/atom
**D(E_F)**: 1.7825 states/eV per atom

Cell: 10.656 10.656 10.656 Å, 158.00 157.59 31.61°
Atoms (fractional coordinates):
U 0.341 0.091 0.250
U 0.659 0.909 0.750
Ga 0.101 0.351 0.750
Ga 0.220 0.470 0.750
Ga 0.780 0.530 0.250
Ga 0.899 0.649 0.250
Cu 0.036 0.786 0.250
Cu 0.462 0.712 0.750
Cu 0.538 0.288 0.250
Cu 0.964 0.214 0.750

Record 19
Below is a relaxed SrCuIr2 crystal, with properties calculated at the PBE-GGA level.

**Total magnetic moment**: 0.00 μB per cell
**Raw total energy**: -5.685 eV/atom
**Formation energy from the elements**: 0.190 eV/atom
**D(E_F)**: 0.6579 states/eV per atom

Cell: 2.909 4.329 6.024 Å, 90.00 103.52 90.00°
Atoms (fractional coordinates):
Sr 0.000 0.000 0.000
Cu 0.626 0.500 0.260
Ir 0.302 0.500 0.623
Ir 0.743 0.000 0.506

Record 20
Below is a relaxed RbAgGeO3 crystal, with properties calculated at the PBE-GGA level.

**Total magnetic moment**: 0.00 μB per cell
**Formation energy without anion corrections**: -1.243 eV/atom
**Raw total energy**: -5.128 eV/atom

Cell: 6.720 6.720 7.969 Å, 124.38 124.38 48.05°
Atoms (fractional coordinates):
Rb 0.147 0.147 0.019
Rb 0.853 0.853 0.981
Ag 0.253 0.747 0.500
Ag 0.747 0.253 0.500
Ge 0.256 0.256 0.575
Ge 0.744 0.744 0.425
O 0.124 0.633 0.627
O 0.235 0.235 0.773
O 0.367 0.876 0.373
O 0.633 0.124 0.627
O 0.765 0.765 0.227
O 0.876 0.367 0.373